Density functional theory data (GGA-PBE) for crystalline Na2NbBiO5 at its relaxed geometry.

The space group is Cmc2_1 (No. 36) and the conventional cell measures 3.186, 15.839 and 10.606 Å, with angles of 90.00, 90.00 and 90.00 degrees. Symmetry generates all atoms from Na at (0.000, 0.116, 0.000), Na at (0.000, 0.126, 0.484), Nb at (0.000, 0.245, 0.723), Bi at (0.000, 0.488, 0.223), O at (0.000, 0.104, 0.767), O at (0.000, 0.246, 0.345), O at (0.000, 0.289, 0.110), O at (0.000, 0.355, 0.667) and O at (0.000, 0.482, 0.029).

The volume is 535 Å³/cell. The calculation puts the uncorrected formation energy at -16.26 eV/f.u. The electronic total energy comes out at -6.40 eV per atom. The calculation puts the theoretical density at 5.31 g/cm3. Its density of states at the Fermi level is 0.0 states/eV per cell.